## Li2AlBr6 (PBE)

Data for a relaxed structure of Li2AlBr6.

```
Li2AlBr6
1.0
6.684 0.000 0.311
0.000 6.292 0.000
-0.483 0.000 11.339
Li Al Br
4 2 12
direct
0.994 0.468 0.830
0.506 0.968 0.670
0.494 0.032 0.330
0.006 0.532 0.170
0.500 0.500 0.000
0.000 0.000 0.500
0.844 0.819 0.327
0.841 0.735 0.639
0.810 0.725 0.983
0.690 0.225 0.517
0.659 0.235 0.861
0.656 0.319 0.173
0.156 0.181 0.673
0.159 0.265 0.361
0.190 0.275 0.017
0.310 0.775 0.483
0.341 0.765 0.139
0.344 0.681 0.827
```

Output
* uncorrected energy: -0.1107 hartree per atom
* relative energy among the computed polymorphs: 0.006 eV/atom
* uncorrected formation energy: -1.057 eV/atom

=====

## LiAlBr2 (PBE)

Data for a relaxed structure of LiAlBr2.

```
LiAlBr2
1.0
-2.334 -5.262 0.635
2.575 -0.942 5.101
-2.657 -0.093 3.011
Al Br Li
1 2 1
direct
0.000 0.500 0.500
0.000 0.000 0.000
0.500 0.500 0.000
0.500 0.000 0.500
```

Output
* uncorrected energy: -0.1071 hartree per atom
* relative energy among the computed polymorphs: 0.157 eV/atom
* uncorrected formation energy: -0.663 eV/atom

=====

## LiAl2Br (PBE)

Data for a relaxed structure of LiAl2Br.

```
LiAl2Br
1.0
5.582 -0.007 0.000
-2.952 4.738 0.000
0.000 0.000 3.240
Al Br Li
2 1 1
direct
0.000 0.000 0.000
0.500 0.500 0.000
0.500 0.000 0.500
0.000 0.500 0.500
```

Output
* uncorrected energy: -0.1018 hartree per atom
* relative energy among the computed polymorphs: 0.291 eV/atom
* uncorrected formation energy: -0.001 eV/atom

=====

## LiAl2Br (PBE)

Data for a relaxed structure of LiAl2Br.

```
LiAl2Br
1.0
-3.625 2.530 -1.471
-4.386 -0.991 -1.221
-4.148 1.267 5.232
Al Br Li
2 1 1
direct
0.971 0.971 0.869
0.658 0.658 0.948
0.571 0.571 0.402
0.300 0.300 0.281
```

Output
* uncorrected energy: -0.1100 hartree per atom
* relative energy among the computed polymorphs: 0.067 eV/atom
* uncorrected formation energy: -0.225 eV/atom

=====

## LiAl2Br (PBE)

Data for a relaxed structure of LiAl2Br.

```
LiAl2Br
1.0
8.213 0.000 0.000
0.000 3.731 0.000
0.000 0.000 3.731
Al Br Li
2 1 1
direct
0.000 0.000 0.000
0.000 0.500 0.500
0.500 0.500 0.000
0.500 0.000 0.500
```

Output
* uncorrected energy: -0.1097 hartree per atom
* relative energy among the computed polymorphs: 0.074 eV/atom
* uncorrected formation energy: -0.218 eV/atom

=====

## Li3AlBr6 (PBE)

Data for a relaxed structure of Li3AlBr6.

```
Li3AlBr6
1.0
-1.646 5.991 2.307
-0.363 -2.681 6.705
10.095 1.868 1.294
Li Al Br
6 2 12
direct
0.485 0.894 0.834
0.500 0.500 0.000
0.515 0.106 0.166
0.985 0.606 0.334
0.000 0.000 0.500
0.015 0.394 0.666
0.500 0.500 0.500
0.000 0.000 0.000
0.684 0.184 0.942
0.675 0.215 0.581
0.636 0.441 0.272
0.364 0.559 0.728
0.325 0.785 0.419
0.316 0.816 0.058
0.184 0.316 0.442
0.175 0.285 0.081
0.136 0.059 0.772
0.864 0.941 0.228
0.825 0.715 0.919
0.816 0.684 0.558
```

Output
* uncorrected energy: -0.1191 hartree per atom
* uncorrected formation energy: -1.289 eV/atom

=====

## LiAl2Br (PBE)

Data for a relaxed structure of LiAl2Br.

```
LiAl2Br
1.0
8.293 0.000 0.000
0.000 8.293 0.000
4.147 4.147 2.663
Al Br Li
4 2 2
direct
0.623 0.125 0.250
0.127 0.625 0.250
0.375 0.377 0.750
0.875 0.873 0.750
0.000 0.000 0.000
0.750 0.250 0.500
0.500 0.500 0.000
0.250 0.750 0.500
```

Output
* uncorrected energy: -0.0989 hartree per atom
* relative energy among the computed polymorphs: 0.370 eV/atom
* uncorrected formation energy: 0.077 eV/atom

=====

## LiAl2Br (PBE)

Data for a relaxed structure of LiAl2Br.

```
LiAl2Br
1.0
5.366 -0.007 0.000
1.695 5.092 0.000
-3.530 -2.543 3.141
Al Br Li
2 1 1
direct
0.000 0.000 0.000
0.250 0.750 0.500
0.500 0.500 0.000
0.750 0.250 0.500
```

Output
* uncorrected energy: -0.0992 hartree per atom
* relative energy among the computed polymorphs: 0.361 eV/atom
* uncorrected formation energy: 0.068 eV/atom